No. 1
Density functional theory data (GGA-PBE) for a relaxed CsCaScF6 crystal.

Its space group is Imma. The value obtained for the total moment is 0.10 μB/f.u. The calculation puts the density at 3.1 g/cm3. For the energy relative to the elements, uncorrected, the calculation gives -33.50 eV per formula unit. The value obtained for the total DFT energy (no corrections) is -5.9909 eV per atom.

a = 7.9551 Å, b = 7.9551 Å, c = 7.9551 Å
α = 119.83°, β = 119.70°, γ = 90.41°
Positions (direct):
1 Cs 0.3841 0.1341 0.2500
2 Cs 0.6159 0.8659 0.7500
3 Ca 0.0000 0.5000 0.5000
4 Ca 0.5000 0.5000 0.0000
5 Sc 0.0000 0.0000 0.5000
6 Sc 0.0000 0.5000 0.0000
7 F 0.0420 0.7920 0.2500
8 F 0.0559 0.4123 0.2161
9 F 0.0559 0.8398 0.6436
10 F 0.3038 0.1602 0.7161
11 F 0.3038 0.5877 0.1436
12 F 0.3414 0.5914 0.7500
13 F 0.6586 0.4086 0.2500
14 F 0.6962 0.4123 0.8564
15 F 0.6962 0.8398 0.2839
16 F 0.9441 0.1602 0.3564
17 F 0.9441 0.5877 0.7839
18 F 0.9580 0.2080 0.7500

No. 2
Density functional theory data (GGA-PBE) for a relaxed Cs2Ca3SmF12 crystal.

Its space group is R-3m. The value obtained for the total moment is 1.33 μB/f.u. The calculation puts the density at 3.1 g/cm3. For the energy relative to the elements, uncorrected, the calculation gives -61.77 eV per formula unit. The value obtained for the total DFT energy (no corrections) is -5.3697 eV per atom.

a = 8.4073 Å, b = 8.4073 Å, c = 8.4073 Å
α = 58.54°, β = 58.54°, γ = 58.54°
Positions (direct):
1 Cs 0.1070 0.1070 0.1070
2 Cs 0.8930 0.8930 0.8930
3 Ca 0.0000 0.5000 0.5000
4 Ca 0.5000 0.0000 0.5000
5 Ca 0.5000 0.5000 0.0000
6 Sm 0.5000 0.5000 0.5000
7 F 0.1697 0.1697 0.5859
8 F 0.1697 0.5859 0.1697
9 F 0.1789 0.5688 0.5688
10 F 0.4141 0.8303 0.8303
11 F 0.4312 0.4312 0.8211
12 F 0.4312 0.8211 0.4312
13 F 0.5688 0.1789 0.5688
14 F 0.5688 0.5688 0.1789
15 F 0.5859 0.1697 0.1697
16 F 0.8211 0.4312 0.4312
17 F 0.8303 0.4141 0.8303
18 F 0.8303 0.8303 0.4141

No. 3
Density functional theory data (GGA-PBE) for a relaxed Cs3Sr2CaF9 crystal.

Its space group is P-3m1. The value obtained for the total moment is 0.28 μB/f.u. The calculation puts the density at 4.1 g/cm3. For the energy relative to the elements, uncorrected, the calculation gives -51.68 eV per formula unit. The value obtained for the total DFT energy (no corrections) is -5.0965 eV per atom.

a = 6.7039 Å, b = 6.7039 Å, c = 8.2141 Å
α = 90.00°, β = 90.00°, γ = 120.00°
Positions (direct):
1 Cs 0.0000 0.0000 0.0000
2 Cs 0.3333 0.6667 0.6668
3 Cs 0.6667 0.3333 0.3332
4 Sr 0.3333 0.6667 0.1737
5 Sr 0.6667 0.3333 0.8263
6 Ca 0.0000 0.0000 0.5000
7 F 0.0000 0.5000 0.0000
8 F 0.1611 0.3222 0.3411
9 F 0.1611 0.8389 0.3411
10 F 0.3222 0.1611 0.6589
11 F 0.5000 0.0000 0.0000
12 F 0.5000 0.5000 0.0000
13 F 0.6778 0.8389 0.3411
14 F 0.8389 0.1611 0.6589
15 F 0.8389 0.6778 0.6589

No. 4
Density functional theory data (GGA-PBE) for a relaxed CsCaTbF6 crystal.

Its space group is Imma. The value obtained for the total moment is 0.10 μB/f.u. The calculation puts the density at 3.6 g/cm3. For the energy relative to the elements, uncorrected, the calculation gives -33.73 eV per formula unit. The value obtained for the total DFT energy (no corrections) is -5.8273 eV per atom.

a = 8.3413 Å, b = 8.3413 Å, c = 8.3413 Å
α = 121.16°, β = 119.47°, γ = 89.46°
Positions (direct):
1 Cs 0.3230 0.0730 0.2500
2 Cs 0.6770 0.9270 0.7500
3 Ca 0.0000 0.0000 0.5000
4 Ca 0.0000 0.5000 0.0000
5 Tb 0.0000 0.5000 0.5000
6 Tb 0.5000 0.5000 0.0000
7 F 0.0618 0.4241 0.2474
8 F 0.0618 0.8144 0.6377
9 F 0.0749 0.8249 0.2500
10 F 0.3117 0.5617 0.7500
11 F 0.3233 0.1856 0.7474
12 F 0.3233 0.5759 0.1377
13 F 0.6767 0.4241 0.8623
14 F 0.6767 0.8144 0.2526
15 F 0.6883 0.4383 0.2500
16 F 0.9251 0.1751 0.7500
17 F 0.9382 0.1856 0.3623
18 F 0.9382 0.5759 0.7526

No. 5
Density functional theory data (GGA-PBE) for a relaxed Cs2CaTbF6 crystal.

Its space group is Pmmn. The value obtained for the total moment is 0.87 μB/f.u. The calculation puts the density at 4.8 g/cm3. For the energy relative to the elements, uncorrected, the calculation gives -32.56 eV per formula unit. The value obtained for the total DFT energy (no corrections) is -5.2132 eV per atom.

a = 6.8328 Å, b = 9.2138 Å, c = 6.3628 Å
α = 90.00°, β = 90.00°, γ = 90.00°
Positions (direct):
1 Cs 0.2500 0.0013 0.2324
2 Cs 0.2500 0.4987 0.2324
3 Cs 0.7500 0.5013 0.7676
4 Cs 0.7500 0.9987 0.7676
5 Ca 0.2500 0.2500 0.7394
6 Ca 0.7500 0.7500 0.2606
7 Tb 0.2500 0.7500 0.7319
8 Tb 0.7500 0.2500 0.2681
9 F 0.0044 0.2500 0.0007
10 F 0.0391 0.2500 0.4540
11 F 0.2500 0.5050 0.7439
12 F 0.2500 0.9950 0.7439
13 F 0.4609 0.2500 0.4540
14 F 0.4956 0.2500 0.0007
15 F 0.5044 0.7500 0.9993
16 F 0.5391 0.7500 0.5460
17 F 0.7500 0.0050 0.2561
18 F 0.7500 0.4950 0.2561
19 F 0.9609 0.7500 0.5460
20 F 0.9956 0.7500 0.9993

No. 6
Density functional theory data (GGA-PBE) for a relaxed Cs2CaTlF6 crystal.

Its space group is Pmmn. The value obtained for the total moment is 0.90 μB/f.u. The calculation puts the density at 5.0 g/cm3. For the energy relative to the elements, uncorrected, the calculation gives -27.96 eV per formula unit. The value obtained for the total DFT energy (no corrections) is -4.5266 eV per atom.

a = 6.6377 Å, b = 9.3922 Å, c = 6.6429 Å
α = 90.00°, β = 90.00°, γ = 90.00°
Positions (direct):
1 Cs 0.2500 0.9999 0.2501
2 Cs 0.2500 0.5001 0.2501
3 Cs 0.7500 0.0001 0.7499
4 Cs 0.7500 0.4999 0.7499
5 Ca 0.2500 0.2500 0.7497
6 Ca 0.7500 0.7500 0.2503
7 Tl 0.2500 0.7500 0.7503
8 Tl 0.7500 0.2500 0.2497
9 F 0.0081 0.2500 0.5079
10 F 0.0080 0.2500 0.9913
11 F 0.2500 0.0082 0.7495
12 F 0.2500 0.4918 0.7495
13 F 0.4919 0.2500 0.5079
14 F 0.4920 0.2500 0.9913
15 F 0.5080 0.7500 0.0087
16 F 0.5081 0.7500 0.4921
17 F 0.7500 0.5082 0.2505
18 F 0.7500 0.9918 0.2505
19 F 0.9920 0.7500 0.0087
20 F 0.9919 0.7500 0.4921

- Which formula does entry 3 have?
  Cs3Sr2CaF9

- Which of these has the highest total DFT energy (no corrections)?
  Cs2CaTlF6

- The highest total DFT energy (no corrections) belongs to which entry?
  Cs2CaTlF6